1.
Computed, not measured: an optimized crystal structure of BaSc4In5 at the GGA-PBE level of DFT.

Computed properties:
DFT formation energy = -0.3929 eV/atom
Spin magnetization = 0.00 μB per atom
N(E_F) = 5.9 states/eV/f.u.
Final energy = -4.487 eV per atom

Cell lengths 3.687, 3.687, 18.555 Å; angles 90.00, 90.00, 90.00 degrees
Space group P4/mmm (No. 123)
One atom of each set of equivalent atoms:
Ba 0.000 0.000 0.000
Sc 0.000 0.000 0.227
Sc 0.000 0.000 0.409
In 0.500 0.500 0.137
In 0.500 0.500 0.318
In 0.500 0.500 0.500

2.
Computed, not measured: an optimized crystal structure of CaSi2W at the GGA-PBE level of DFT.

Computed properties:
Spin magnetization = 0.00 μB per atom
N(E_F) = 1.3 states/eV/f.u.
E above lowest polymorph = 0.0 meV/atom
Final energy = -6.597 eV per atom

Cell lengths 3.202, 3.202, 6.953 Å; angles 90.00, 90.00, 90.00 degrees
Space group P4/mmm (No. 123)
One atom of each set of equivalent atoms:
Ca 0.000 0.000 0.000
Si 0.500 0.500 0.310
W 0.000 0.000 0.500

3.
Computed, not measured: an optimized crystal structure of Cs3Ag2AuCl9 at the GGA-PBE level of DFT.

Computed properties:
Spin magnetization = 0.00 μB per atom
N(E_F) = 5.0 states/eV/f.u.
Final energy = -2.930 eV per atom

Cell lengths 7.3731, 7.3731, 9.0332 Å; angles 90.00, 90.00, 120.00 degrees
Space group P-3m1 (No. 164)
One atom of each set of equivalent atoms:
Cs 0.0000 0.0000 0.0000
Cs 0.3333 0.6667 0.6741
Ag 0.3333 0.6667 0.1678
Au 0.0000 0.0000 0.5000
Cl 0.0000 0.5000 0.0000
Cl 0.1643 0.3285 0.3388

4.
Computed, not measured: an optimized crystal structure of Nd2ErP3 at the GGA-PBE level of DFT.

Computed properties:
DFT formation energy = -1.5491 eV/atom
Spin magnetization = 0.00 μB per atom
N(E_F) = 0.8 states/eV/f.u.
Final energy = -6.604 eV per atom

Cell lengths 7.107, 12.309, 7.106 Å; angles 90.00, 109.47, 90.00 degrees
Space group C2/m (No. 12)
One atom of each set of equivalent atoms:
Nd 0.000 0.000 0.000
Nd 0.000 0.166 0.500
Nd 0.000 0.500 0.500
Er 0.000 0.333 0.000
P 0.241 0.500 0.241
P 0.249 0.330 0.758

5.
Computed, not measured: an optimized crystal structure of K2Pr2NbO6 at the GGA-PBE level of DFT.

Computed properties:
Spin magnetization = 0.09 μB per atom
N(E_F) = 2.2 states/eV/f.u.
Final energy = -7.190 eV per atom

Cell lengths 6.131, 10.502, 6.606 Å; angles 90.00, 104.96, 90.00 degrees
Space group C2/m (No. 12)
One atom of each set of equivalent atoms:
K 0.000 0.153 0.000
Pr 0.000 0.337 0.500
Nb 0.000 0.000 0.500
O 0.193 0.152 0.670
O 0.244 0.000 0.322

6.
Computed, not measured: an optimized crystal structure of GaAs2PbBr at the GGA-PBE level of DFT.

Computed properties:
Spin magnetization = 0.00 μB per atom
N(E_F) = 5.2 states/eV/f.u.
E above lowest polymorph = 0.0 meV/atom
Final energy = -3.313 eV per atom

Cell lengths 4.945, 4.945, 5.456 Å; angles 90.00, 90.00, 90.00 degrees
Space group P4/mmm (No. 123)
One atom of each set of equivalent atoms:
Ga 0.000 0.000 0.000
As 0.000 0.500 0.000
Pb 0.500 0.500 0.500
Br 0.000 0.000 0.500